This record from Alexandria via LeMat-Bulk describes a geometry-optimized LaLuTh structure. The functional is PBE.

Computed properties:
Raw total energy: -0.4067 Ry per atom
Distance to the lowest polymorph of the same formula: 51 meV/atom
Formation energy: 0.089 eV/atom

a b c (Å): 5.7287 5.7287 3.4506
angles (deg): 90.00 90.00 120.00
Space group P-6m2 (No. 187)
Inequivalent atoms, fractional coordinates:
La: 0.0000 0.0000 0.0000
Lu: 0.6667 0.3333 0.5000
Th: 0.3333 0.6667 0.0000

This record from Alexandria via LeMat-Bulk describes a geometry-optimized La2LuTh structure. The functional is PBE.

Computed properties:
Raw total energy: -0.3963 Ry per atom
Distance to the lowest polymorph of the same formula: 5 meV/atom
Formation energy: 0.057 eV/atom

a b c (Å): 3.6268 3.6268 10.2319
angles (deg): 90.00 90.00 90.00
Space group P4/mmm (No. 123)
Inequivalent atoms, fractional coordinates:
La: 0.0000 0.0000 0.2457
Lu: 0.5000 0.5000 0.5000
Th: 0.5000 0.5000 0.0000

This record from Alexandria via LeMat-Bulk describes a geometry-optimized La2LuTh structure. The functional is PBE.

Computed properties:
Raw total energy: -0.3884 Ry per atom
Distance to the lowest polymorph of the same formula: 113 meV/atom
Formation energy: 0.165 eV/atom

a b c (Å): 3.5454 3.5454 37.5951
angles (deg): 90.00 90.00 120.00
Space group R-3m (No. 166, hexagonal axes)
Inequivalent atoms, fractional coordinates:
La: 0.0000 0.0000 0.0895
Lu: 0.0000 0.0000 0.0000
Th: 0.0000 0.0000 0.5000

This record from Alexandria via LeMat-Bulk describes a geometry-optimized LaLuTh structure. The functional is PBE.

Computed properties:
Raw total energy: -0.4104 Ry per atom
Distance to the lowest polymorph of the same formula: 0 meV/atom
Formation energy: 0.039 eV/atom

a b c (Å): 3.6124 3.6124 15.1270
angles (deg): 90.00 90.00 90.00
Space group I4mm (No. 107)
Inequivalent atoms, fractional coordinates:
La: 0.0000 0.0000 0.0000
Lu: 0.0000 0.0000 0.6824
Th: 0.0000 0.0000 0.3356

This record from Alexandria via LeMat-Bulk describes a geometry-optimized La2LuTh structure. The functional is PBE.

Computed properties:
Raw total energy: -0.3966 Ry per atom
Distance to the lowest polymorph of the same formula: 0 meV/atom
Formation energy: 0.052 eV/atom

a b c (Å): 5.0992 5.0992 5.1605
angles (deg): 90.00 90.00 90.00
Space group P4/mmm (No. 123)
Inequivalent atoms, fractional coordinates:
La: 0.0000 0.5000 0.0000
Lu: 0.0000 0.0000 0.5000
Th: 0.5000 0.5000 0.5000

This record from Alexandria via LeMat-Bulk describes a geometry-optimized LaLuThTl structure. The functional is PBE.

Computed properties:
Raw total energy: -0.3527 Ry per atom
Formation energy: 0.010 eV/atom

a b c (Å): 7.9077 7.9077 7.9077
angles (deg): 90.00 90.00 90.00
Space group F-43m (No. 216)
Inequivalent atoms, fractional coordinates:
La: 0.0000 0.0000 0.0000
Lu: 0.2500 0.2500 0.2500
Th: 0.0000 0.0000 0.5000
Tl: 0.2500 0.2500 0.7500

This record from Alexandria via LeMat-Bulk describes a geometry-optimized LaTmLuTh structure. The functional is PBE.

Computed properties:
Raw total energy: -0.3855 Ry per atom
Formation energy: 0.090 eV/atom

a b c (Å): 8.0210 8.0210 8.0210
angles (deg): 90.00 90.00 90.00
Space group F-43m (No. 216)
Inequivalent atoms, fractional coordinates:
La: 0.0000 0.0000 0.0000
Tm: 0.2500 0.2500 0.7500
Lu: 0.2500 0.2500 0.2500
Th: 0.0000 0.0000 0.5000

This record from Alexandria via LeMat-Bulk describes a geometry-optimized LaLuThZn structure. The functional is PBE.

Computed properties:
Raw total energy: -0.3289 Ry per atom
Formation energy: 0.060 eV/atom

a b c (Å): 7.6856 7.6856 7.6856
angles (deg): 90.00 90.00 90.00
Space group F-43m (No. 216)
Inequivalent atoms, fractional coordinates:
La: 0.0000 0.0000 0.0000
Lu: 0.2500 0.2500 0.2500
Th: 0.0000 0.0000 0.5000
Zn: 0.2500 0.2500 0.7500

This record from Alexandria via LeMat-Bulk describes a geometry-optimized LaLu2Ti structure. The functional is PBE.

Computed properties:
Raw total energy: -0.3916 Ry per atom
Formation energy: 0.137 eV/atom

a b c (Å): 3.3541 3.3541 9.8752
angles (deg): 90.00 90.00 90.00
Space group P4/mmm (No. 123)
Inequivalent atoms, fractional coordinates:
La: 0.0000 0.0000 0.0000
Lu: 0.5000 0.5000 0.2943
Ti: 0.0000 0.0000 0.5000

This record from Alexandria via LeMat-Bulk describes a geometry-optimized LaTmLuTl structure. The functional is PBE.

Computed properties:
Raw total energy: -0.3037 Ry per atom
Formation energy: -0.060 eV/atom

a b c (Å): 7.8013 7.8013 7.8013
angles (deg): 90.00 90.00 90.00
Space group F-43m (No. 216)
Inequivalent atoms, fractional coordinates:
La: 0.0000 0.0000 0.0000
Tm: 0.0000 0.0000 0.5000
Lu: 0.2500 0.2500 0.2500
Tl: 0.2500 0.2500 0.7500

This record from Alexandria via LeMat-Bulk describes a geometry-optimized LaLuTlZn structure. The functional is PBE.

Computed properties:
Raw total energy: -0.2636 Ry per atom
Formation energy: -0.314 eV/atom

a b c (Å): 7.5438 7.5438 7.5438
angles (deg): 90.00 90.00 90.00
Space group F-43m (No. 216)
Inequivalent atoms, fractional coordinates:
La: 0.0000 0.0000 0.0000
Lu: 0.0000 0.0000 0.5000
Tl: 0.2500 0.2500 0.7500
Zn: 0.2500 0.2500 0.2500

This record from Alexandria via LeMat-Bulk describes a geometry-optimized LaTmLu2 structure. The functional is PBE.

Computed properties:
Raw total energy: -0.3322 Ry per atom
Distance to the lowest polymorph of the same formula: 54 meV/atom
Formation energy: 0.090 eV/atom

a b c (Å): 7.9853 7.9853 7.9853
angles (deg): 90.00 90.00 90.00
Space group Fm-3m (No. 225)
Inequivalent atoms, fractional coordinates:
La: 0.0000 0.0000 0.0000
Tm: 0.0000 0.0000 0.5000
Lu: 0.2500 0.2500 0.2500

This record from Alexandria via LeMat-Bulk describes a geometry-optimized LaTm2Lu structure. The functional is PBE.

Computed properties:
Raw total energy: -0.3311 Ry per atom
Distance to the lowest polymorph of the same formula: 49 meV/atom
Formation energy: 0.093 eV/atom

a b c (Å): 3.9874 3.9874 8.1439
angles (deg): 90.00 90.00 90.00
Space group P4/mmm (No. 123)
Inequivalent atoms, fractional coordinates:
La: 0.0000 0.0000 0.0000
Tm: 0.5000 0.5000 0.2738
Lu: 0.0000 0.0000 0.5000

This record from Alexandria via LeMat-Bulk describes a geometry-optimized LaTmLu2 structure. The functional is PBE.

Computed properties:
Raw total energy: -0.3354 Ry per atom
Distance to the lowest polymorph of the same formula: 11 meV/atom
Formation energy: 0.047 eV/atom

a b c (Å): 5.0398 5.0398 4.9741
angles (deg): 90.00 90.00 90.00
Space group P4/mmm (No. 123)
Inequivalent atoms, fractional coordinates:
La: 0.0000 0.0000 0.0000
Tm: 0.5000 0.5000 0.0000
Lu: 0.0000 0.5000 0.5000

This record from Alexandria via LeMat-Bulk describes a geometry-optimized LaTmLu2 structure. The functional is PBE.

Computed properties:
Raw total energy: -0.3326 Ry per atom
Distance to the lowest polymorph of the same formula: 49 meV/atom
Formation energy: 0.085 eV/atom

a b c (Å): 4.0198 4.0198 7.9197
angles (deg): 90.00 90.00 90.00
Space group P4/mmm (No. 123)
Inequivalent atoms, fractional coordinates:
La: 0.0000 0.0000 0.0000
Tm: 0.0000 0.0000 0.5000
Lu: 0.5000 0.5000 0.2679

This record from Alexandria via LeMat-Bulk describes a geometry-optimized La2TmLu structure. The functional is PBE.

Computed properties:
Raw total energy: -0.3417 Ry per atom
Distance to the lowest polymorph of the same formula: 36 meV/atom
Formation energy: 0.063 eV/atom

a b c (Å): 8.1409 8.1409 8.1409
angles (deg): 90.00 90.00 90.00
Space group Fm-3m (No. 225)
Inequivalent atoms, fractional coordinates:
La: 0.2500 0.2500 0.2500
Tm: 0.0000 0.0000 0.0000
Lu: 0.0000 0.0000 0.5000

This record from Alexandria via LeMat-Bulk describes a geometry-optimized La2TmLu structure. The functional is PBE.

Computed properties:
Raw total energy: -0.3421 Ry per atom
Distance to the lowest polymorph of the same formula: 30 meV/atom
Formation energy: 0.057 eV/atom

a b c (Å): 4.1213 4.1213 7.9372
angles (deg): 90.00 90.00 90.00
Space group P4/mmm (No. 123)
Inequivalent atoms, fractional coordinates:
La: 0.0000 0.0000 0.2478
Tm: 0.5000 0.5000 0.5000
Lu: 0.5000 0.5000 0.0000

This record from Alexandria via LeMat-Bulk describes a geometry-optimized La2TmLu structure. The functional is PBE.

Computed properties:
Raw total energy: -0.3444 Ry per atom
Distance to the lowest polymorph of the same formula: 0 meV/atom
Formation energy: 0.027 eV/atom

a b c (Å): 5.2616 5.2616 4.8023
angles (deg): 90.00 90.00 90.00
Space group P4/mmm (No. 123)
Inequivalent atoms, fractional coordinates:
La: 0.0000 0.5000 0.0000
Tm: 0.0000 0.0000 0.5000
Lu: 0.5000 0.5000 0.5000

This record from Alexandria via LeMat-Bulk describes a geometry-optimized LaTmLu2 structure. The functional is PBE.

Computed properties:
Raw total energy: -0.3362 Ry per atom
Distance to the lowest polymorph of the same formula: 0 meV/atom
Formation energy: 0.036 eV/atom

a b c (Å): 3.5475 3.5475 34.3618
angles (deg): 90.00 90.00 120.00
Space group R-3m (No. 166, hexagonal axes)
Inequivalent atoms, fractional coordinates:
La: 0.0000 0.0000 0.0000
Tm: 0.0000 0.0000 0.5000
Lu: 0.0000 0.0000 0.2478

This record from Alexandria via LeMat-Bulk describes a geometry-optimized LaTm2Lu structure. The functional is PBE.

Computed properties:
Raw total energy: -0.3346 Ry per atom
Distance to the lowest polymorph of the same formula: 0 meV/atom
Formation energy: 0.045 eV/atom

a b c (Å): 5.0100 5.0100 5.0602
angles (deg): 90.00 90.00 90.00
Space group P4/mmm (No. 123)
Inequivalent atoms, fractional coordinates:
La: 0.0000 0.0000 0.0000
Tm: 0.0000 0.5000 0.5000
Lu: 0.5000 0.5000 0.0000

This record from Alexandria via LeMat-Bulk describes a geometry-optimized LaTm2Lu structure. The functional is PBE.

Computed properties:
Raw total energy: -0.3295 Ry per atom
Distance to the lowest polymorph of the same formula: 70 meV/atom
Formation energy: 0.115 eV/atom

a b c (Å): 8.0033 8.0033 8.0033
angles (deg): 90.00 90.00 90.00
Space group Fm-3m (No. 225)
Inequivalent atoms, fractional coordinates:
La: 0.0000 0.0000 0.0000
Tm: 0.2500 0.2500 0.2500
Lu: 0.0000 0.0000 0.5000

This record from Alexandria via LeMat-Bulk describes a geometry-optimized LaY2Lu structure. The functional is PBE.

Computed properties:
Raw total energy: -0.4082 Ry per atom
Formation energy: 0.040 eV/atom

a b c (Å): 3.5838 3.5838 10.2219
angles (deg): 90.00 90.00 90.00
Space group P4/mmm (No. 123)
Inequivalent atoms, fractional coordinates:
La: 0.0000 0.0000 0.0000
Y: 0.5000 0.5000 0.2603
Lu: 0.0000 0.0000 0.5000

This record from Alexandria via LeMat-Bulk describes a geometry-optimized LaY2Lu structure. The functional is PBE.

Computed properties:
Raw total energy: -0.4083 Ry per atom
Formation energy: 0.039 eV/atom

a b c (Å): 5.0521 5.0521 5.1443
angles (deg): 90.00 90.00 90.00
Space group P4/mmm (No. 123)
Inequivalent atoms, fractional coordinates:
La: 0.0000 0.0000 0.0000
Y: 0.0000 0.5000 0.5000
Lu: 0.5000 0.5000 0.0000

This record from Alexandria via LeMat-Bulk describes a geometry-optimized LaYLu structure. The functional is PBE.

Computed properties:
Raw total energy: -0.3870 Ry per atom
Distance to the lowest polymorph of the same formula: 0 meV/atom
Formation energy: 0.039 eV/atom

a b c (Å): 3.6033 3.6033 15.2319
angles (deg): 90.00 90.00 90.00
Space group I4mm (No. 107)
Inequivalent atoms, fractional coordinates:
La: 0.0000 0.0000 0.0000
Y: 0.0000 0.0000 0.6729
Lu: 0.0000 0.0000 0.3328

This record from Alexandria via LeMat-Bulk describes a geometry-optimized La2YLu structure. The functional is PBE.

Computed properties:
Raw total energy: -0.3811 Ry per atom
Distance to the lowest polymorph of the same formula: 8 meV/atom
Formation energy: 0.025 eV/atom

a b c (Å): 3.7369 3.7369 9.7211
angles (deg): 90.00 90.00 90.00
Space group P4/mmm (No. 123)
Inequivalent atoms, fractional coordinates:
La: 0.0000 0.0000 0.2449
Y: 0.5000 0.5000 0.5000
Lu: 0.5000 0.5000 0.0000

This record from Alexandria via LeMat-Bulk describes a geometry-optimized La2YLu structure. The functional is PBE.

Computed properties:
Raw total energy: -0.3779 Ry per atom
Distance to the lowest polymorph of the same formula: 52 meV/atom
Formation energy: 0.069 eV/atom

a b c (Å): 8.1856 8.1856 8.1856
angles (deg): 90.00 90.00 90.00
Space group Fm-3m (No. 225)
Inequivalent atoms, fractional coordinates:
La: 0.2500 0.2500 0.2500
Y: 0.0000 0.0000 0.0000
Lu: 0.0000 0.0000 0.5000

This record from Alexandria via LeMat-Bulk describes a geometry-optimized LaYLu structure. The functional is PBE.

Computed properties:
Raw total energy: -0.3838 Ry per atom
Distance to the lowest polymorph of the same formula: 43 meV/atom
Formation energy: 0.082 eV/atom

a b c (Å): 5.6833 5.6833 3.4945
angles (deg): 90.00 90.00 120.00
Space group P-6m2 (No. 187)
Inequivalent atoms, fractional coordinates:
La: 0.0000 0.0000 0.0000
Y: 0.6667 0.3333 0.5000
Lu: 0.3333 0.6667 0.0000

This record from Alexandria via LeMat-Bulk describes a geometry-optimized La2YLu structure. The functional is PBE.

Computed properties:
Raw total energy: -0.3811 Ry per atom
Distance to the lowest polymorph of the same formula: 8 meV/atom
Formation energy: 0.025 eV/atom

a b c (Å): 5.2365 5.2365 4.9269
angles (deg): 90.00 90.00 90.00
Space group P4/mmm (No. 123)
Inequivalent atoms, fractional coordinates:
La: 0.0000 0.5000 0.0000
Y: 0.0000 0.0000 0.5000
Lu: 0.5000 0.5000 0.5000

This record from Alexandria via LeMat-Bulk describes a geometry-optimized La2YLu structure. The functional is PBE.

Computed properties:
Raw total energy: -0.3817 Ry per atom
Distance to the lowest polymorph of the same formula: 0 meV/atom
Formation energy: 0.017 eV/atom

a b c (Å): 3.6455 3.6455 34.9659
angles (deg): 90.00 90.00 120.00
Space group R-3m (No. 166, hexagonal axes)
Inequivalent atoms, fractional coordinates:
La: 0.0000 0.0000 0.2486
Y: 0.0000 0.0000 0.0000
Lu: 0.0000 0.0000 0.5000

This record from Alexandria via LeMat-Bulk describes a geometry-optimized LaYLuZr structure. The functional is PBE.

Computed properties:
Raw total energy: -0.4348 Ry per atom
Formation energy: 0.199 eV/atom

a b c (Å): 7.8145 7.8145 7.8145
angles (deg): 90.00 90.00 90.00
Space group F-43m (No. 216)
Inequivalent atoms, fractional coordinates:
La: 0.0000 0.0000 0.0000
Y: 0.2500 0.2500 0.7500
Lu: 0.2500 0.2500 0.2500
Zr: 0.0000 0.0000 0.5000

This record from Alexandria via LeMat-Bulk describes a geometry-optimized LaLuZn2 structure. The functional is PBE.

Computed properties:
Raw total energy: -0.2439 Ry per atom
Distance to the lowest polymorph of the same formula: 0 meV/atom
Formation energy: -0.320 eV/atom

a b c (Å): 3.5671 3.5671 7.4796
angles (deg): 90.00 90.00 90.00
Space group P4/mmm (No. 123)
Inequivalent atoms, fractional coordinates:
La: 0.0000 0.0000 0.0000
Lu: 0.0000 0.0000 0.5000
Zn: 0.5000 0.5000 0.2840